Crystalline Mn2Au at its relaxed geometry. Source: Alexandria, functional PBE-GGA.

a = 4.365 Å, b = 4.365 Å, c = 4.365 Å
α = 60.00°, β = 60.00°, γ = 60.00°
Each line ends with the local moment (μB).
Element x y z (fractional)
Mn1 0.750 0.750 0.750  3.90
Au1 0.000 0.000 0.000  0.12
Mn2 0.250 0.250 0.250  3.90

E_form	0.436	eV per atom
Fermi-level density of states	2.51	states/eV per cell
magnetization	2.7842	μB per atom
space group	No. 225
raw total energy	-6.770	eV per atom

Crystalline VIrOsRh at its relaxed geometry. Source: Alexandria, functional PBE-GGA.

a = 3.814 Å, b = 3.816 Å, c = 3.849 Å
α = 90.00°, β = 90.00°, γ = 90.00°
Element x y z (fractional)
Os1 0.500 0.000 0.500
Ir1 0.000 0.000 0.000
Rh1 0.500 0.500 0.000
V1 0.000 0.500 0.500

E_form	-0.312	eV per atom
Fermi-level density of states	2.84	states/eV per cell
magnetization	0.0000	μB per atom
space group	No. 47
raw total energy	-9.453	eV per atom

Crystalline TmCr2Re3 at its relaxed geometry. Source: Alexandria, functional PBE-GGA.

a = 5.259 Å, b = 6.715 Å, c = 6.715 Å
α = 76.59°, β = 66.94°, γ = 66.94°
Element x y z (fractional)
Cr1 0.666 0.584 0.584
Tm1 0.000 0.750 0.750
Re1 0.500 0.500 0.000
Re2 0.500 0.750 0.250
Cr2 0.334 0.416 0.416
Cr3 0.334 0.916 0.916
Cr4 0.666 0.084 0.084
Re3 0.000 0.750 0.250
Re4 0.500 0.000 0.500
Re5 0.000 0.250 0.750
Re6 0.500 0.250 0.750
Tm2 0.000 0.250 0.250

E_form	0.101	eV per atom
Fermi-level density of states	10.65	states/eV per cell
magnetization	0.0000	μB per atom
space group	No. 65
raw total energy	-10.076	eV per atom

Crystalline GaW3Br at its relaxed geometry. Source: Alexandria, functional PBE-GGA.

a = 4.603 Å, b = 4.603 Å, c = 4.603 Å
α = 90.00°, β = 90.00°, γ = 90.00°
Element x y z (fractional)
Br1 0.000 0.000 0.000
W1 0.500 0.000 0.000
W2 0.000 0.000 0.500
Ga1 0.500 0.500 0.500
W3 0.000 0.500 0.000

offset from the most stable computed form	0.000	eV/atom
Fermi-level density of states	3.46	states/eV per cell
magnetization	0.0000	μB per atom
space group	No. 221
raw formation energy	2.1770	eV per atom
raw total energy	-6.535	eV per atom

What is the formula in the first record? Mn2Au